[1]
Tb2Er2Mg5Sc: optimized geometry, PBE.

POSCAR file:
```
Tb2Er2Mg5Sc
1.0
4.9291 0.0000 0.0000
0.0000 10.4941 0.0000
0.0000 0.0000 10.4941
Mg Er Tb Sc
10 4 4 2
direct
0.5000 0.6939 0.4322
0.5000 0.1939 0.0678
0.5000 0.4322 0.3061
0.5000 0.3061 0.5678
0.5000 0.5000 0.0000
0.5000 0.0678 0.8061
0.5000 0.0000 0.5000
0.5000 0.9322 0.1939
0.5000 0.5678 0.6939
0.5000 0.8061 0.9322
0.0000 0.3805 0.1195
0.0000 0.6195 0.8805
0.0000 0.8805 0.3805
0.0000 0.1195 0.6195
0.0000 0.1778 0.3222
0.0000 0.8222 0.6778
0.0000 0.3222 0.8222
0.0000 0.6778 0.1778
0.0000 0.0000 0.0000
0.0000 0.5000 0.5000
```

Calculated values
E_form (eV per atom): 0.10

---

[2]
PaSiPd3: optimized geometry, PBE.

POSCAR file:
```
PaSiPd3
1.0
-3.5247 2.7404 -0.8074
-3.5151 -4.8697 -1.1854
-1.6432 -0.3059 6.1349
Pd Si Pa
6 2 2
direct
0.9755 0.1143 0.7008
0.4757 0.2385 0.2007
0.4757 0.8875 0.4930
0.9756 0.4654 0.9929
0.4756 0.8874 0.9086
0.9757 0.4654 0.4086
0.4756 0.6201 0.2008
0.9756 0.7327 0.7008
0.9757 0.9553 0.2008
0.4756 0.3974 0.7007
```

Calculated values
Formation energy from raw total energies (meV per atom): -635

---

One value per record, in order, for total magnetization: 0.00; 0.00 μB/f.u..
One value per record, in order, for DOS at the Fermi energy: 7.3; 5.2 states/eV/f.u..